## AcCd3Au8 (PBE-GGA)

Data for a geometry-optimized AcCd3Au8 structure.

Summary:
ΔH_f (0 K) = -27.6 kJ/mol of atoms

a = 5.643 Å, b = 5.643 Å, c = 9.875 Å
α = 73.40°, β = 73.40°, γ = 60.00°
Element x y z (fractional)
Ac 0.876 0.876 0.371
Cd 0.370 0.370 0.891
Cd 0.009 0.009 0.972
Cd 0.482 0.482 0.555
Au 0.941 0.441 0.178
Au 0.437 0.938 0.687
Au 0.441 0.441 0.178
Au 0.938 0.938 0.687
Au 0.189 0.189 0.434
Au 0.689 0.689 0.933
Au 0.441 0.941 0.178
Au 0.938 0.437 0.687